Entry 1:
Density functional theory data (GGA-PBE) for a relaxed structure of NaTmAu4.

Geometry as CIF:
```
data_NaTmAu4
_cell_length_a 7.9048
_cell_length_b 7.9048
_cell_length_c 7.9048
_cell_angle_alpha 90.00
_cell_angle_beta 90.00
_cell_angle_gamma 90.00
_symmetry_space_group_name_H-M 'F -4 3 m'
_symmetry_Int_Tables_number 216
_symmetry_space_group_name_Hall 'F -4 2 3'
loop_
_atom_site_label
_atom_site_type_symbol
_atom_site_fract_x
_atom_site_fract_y
_atom_site_fract_z
_atom_site_occupancy
Na1 Na 0.0000 0.0000 0.0000 1
Tm1 Tm 0.2500 0.2500 0.2500 1
Au1 Au 0.1253 0.1253 0.6253 1
```

***

Entry 2:
Density functional theory data (GGA-PBE) for a relaxed structure of NaVAu2.

Geometry as CIF:
```
data_NaVAu2
_cell_length_a 7.5641
_cell_length_b 7.5641
_cell_length_c 5.7523
_cell_angle_alpha 90.00
_cell_angle_beta 90.00
_cell_angle_gamma 90.00
_symmetry_space_group_name_H-M 'I -4 2 d'
_symmetry_Int_Tables_number 122
_symmetry_space_group_name_Hall 'I -4 2bw'
loop_
_atom_site_label
_atom_site_type_symbol
_atom_site_fract_x
_atom_site_fract_y
_atom_site_fract_z
_atom_site_occupancy
Na1 Na 0.0000 0.0000 0.0000 1
V1 V 0.0000 0.0000 0.5000 1
Au1 Au 0.2240 0.7500 0.6250 1
```

***

Entry 3:
Density functional theory data (GGA-PBE) for a relaxed structure of Na3VAu.

## Properties
Relative energy among the computed polymorphs: 1.69 eV per formula unit

Geometry as CIF:
```
data_Na3VAu
_cell_length_a 5.6522
_cell_length_b 5.6522
_cell_length_c 5.6522
_cell_angle_alpha 90.00
_cell_angle_beta 90.00
_cell_angle_gamma 90.00
_symmetry_space_group_name_H-M 'P m -3 m'
_symmetry_Int_Tables_number 221
_symmetry_space_group_name_Hall '-P 4 2 3'
loop_
_atom_site_label
_atom_site_type_symbol
_atom_site_fract_x
_atom_site_fract_y
_atom_site_fract_z
_atom_site_occupancy
Na1 Na 0.0000 0.0000 0.5000 1
V1 V 0.0000 0.0000 0.0000 1
Au1 Au 0.5000 0.5000 0.5000 1
```

***

Entry 4:
Density functional theory data (GGA-PBE) for a relaxed structure of NaV2Au.

## Properties
Relative energy among the computed polymorphs: 0.00 eV per formula unit

Geometry as CIF:
```
data_NaV2Au
_cell_length_a 6.5335
_cell_length_b 6.5335
_cell_length_c 6.5335
_cell_angle_alpha 90.00
_cell_angle_beta 90.00
_cell_angle_gamma 90.00
_symmetry_space_group_name_H-M 'F m -3 m'
_symmetry_Int_Tables_number 225
_symmetry_space_group_name_Hall '-F 4 2 3'
loop_
_atom_site_label
_atom_site_type_symbol
_atom_site_fract_x
_atom_site_fract_y
_atom_site_fract_z
_atom_site_occupancy
Na1 Na 0.0000 0.0000 0.0000 1
V1 V 0.2500 0.2500 0.2500 1
Au1 Au 0.0000 0.0000 0.5000 1
```

***

Entry 5:
Density functional theory data (GGA-PBE) for a relaxed structure of Na3VAu.

## Properties
Relative energy among the computed polymorphs: 0.00 eV per formula unit

Geometry as CIF:
```
data_Na3VAu
_cell_length_a 5.5028
_cell_length_b 5.5028
_cell_length_c 5.5028
_cell_angle_alpha 90.00
_cell_angle_beta 90.00
_cell_angle_gamma 90.00
_symmetry_space_group_name_H-M 'P m -3 m'
_symmetry_Int_Tables_number 221
_symmetry_space_group_name_Hall '-P 4 2 3'
loop_
_atom_site_label
_atom_site_type_symbol
_atom_site_fract_x
_atom_site_fract_y
_atom_site_fract_z
_atom_site_occupancy
Na1 Na 0.0000 0.0000 0.5000 1
V1 V 0.5000 0.5000 0.5000 1
Au1 Au 0.0000 0.0000 0.0000 1
```

***

Entry 6:
Density functional theory data (GGA-PBE) for a relaxed structure of NaV3Au.

## Properties
Relative energy among the computed polymorphs: 0.00 eV per formula unit

Geometry as CIF:
```
data_NaV3Au
_cell_length_a 5.0609
_cell_length_b 5.0609
_cell_length_c 5.0609
_cell_angle_alpha 90.00
_cell_angle_beta 90.00
_cell_angle_gamma 90.00
_symmetry_space_group_name_H-M 'P m -3 m'
_symmetry_Int_Tables_number 221
_symmetry_space_group_name_Hall '-P 4 2 3'
loop_
_atom_site_label
_atom_site_type_symbol
_atom_site_fract_x
_atom_site_fract_y
_atom_site_fract_z
_atom_site_occupancy
Na1 Na 0.0000 0.0000 0.0000 1
V1 V 0.0000 0.5000 0.5000 1
Au1 Au 0.5000 0.5000 0.5000 1
```

***

Entry 7:
Density functional theory data (GGA-PBE) for a relaxed structure of NaV3Au.

## Properties
Relative energy among the computed polymorphs: 3.62 eV per formula unit

Geometry as CIF:
```
data_NaV3Au
_cell_length_a 4.4327
_cell_length_b 4.4327
_cell_length_c 4.4327
_cell_angle_alpha 90.00
_cell_angle_beta 90.00
_cell_angle_gamma 90.00
_symmetry_space_group_name_H-M 'P m -3 m'
_symmetry_Int_Tables_number 221
_symmetry_space_group_name_Hall '-P 4 2 3'
loop_
_atom_site_label
_atom_site_type_symbol
_atom_site_fract_x
_atom_site_fract_y
_atom_site_fract_z
_atom_site_occupancy
Na1 Na 0.0000 0.0000 0.0000 1
V1 V 0.0000 0.0000 0.5000 1
Au1 Au 0.5000 0.5000 0.5000 1
```

***

Entry 8:
Density functional theory data (GGA-PBE) for a relaxed structure of NaV2Au2.

Geometry as CIF:
```
data_NaV2Au2
_cell_length_a 8.0557
_cell_length_b 8.0557
_cell_length_c 2.7218
_cell_angle_alpha 90.00
_cell_angle_beta 90.00
_cell_angle_gamma 90.00
_symmetry_space_group_name_H-M 'P 4/m b m'
_symmetry_Int_Tables_number 127
_symmetry_space_group_name_Hall '-P 4 2ab'
loop_
_atom_site_label
_atom_site_type_symbol
_atom_site_fract_x
_atom_site_fract_y
_atom_site_fract_z
_atom_site_occupancy
Na1 Na 0.0000 0.0000 0.0000 1
V1 V 0.0991 0.4009 0.0000 1
Au1 Au 0.1915 0.6915 0.5000 1
```

***

no.,D(E_F) (states/eV per atom),total magnetization (μB/cell),energy relative to the elements (eV/atom)
1,0.9827,0.00,-0.4142
2,1.2875,13.53,0.3046
3,1.7330,4.91,1.0089
4,1.5110,21.25,0.7029
5,1.7257,4.39,0.6713
6,2.3761,9.43,1.3227
7,1.2209,2.41,2.0465
8,1.1358,1.16,0.1159